Record 1
# HoTl2In (PBE, relaxed)
# D(E_F) ... 4.426 states/eV per cell
# Total magnetization ... 0.0 μB/f.u.
# E_form ... -36 meV/atom
data_HoTl2In
_cell_length_a 4.7531
_cell_length_b 4.7531
_cell_length_c 18.2918
_cell_angle_alpha 90.00
_cell_angle_beta 90.00
_cell_angle_gamma 120.00
_symmetry_space_group_name_H-M 'R 3 m'
_symmetry_Int_Tables_number 160
_symmetry_space_group_name_Hall 'R 3 -2"'
loop_
_atom_site_label
_atom_site_type_symbol
_atom_site_fract_x
_atom_site_fract_y
_atom_site_fract_z
Ho1 Ho 0.0000 0.0000 0.0000
Tl1 Tl 0.0000 0.0000 0.4256
Tl2 Tl 0.0000 0.0000 0.5971
In1 In 0.0000 0.0000 0.1862

Record 2
# La2PmSn2 (PBE, relaxed)
# D(E_F) ... 16.477 states/eV per cell
# Total magnetization ... 0.0 μB/f.u.
# E_form ... -660 meV/atom
data_La2PmSn2
_cell_length_a 5.176
_cell_length_b 19.057
_cell_length_c 6.730
_cell_angle_alpha 90.00
_cell_angle_beta 90.00
_cell_angle_gamma 90.00
_symmetry_space_group_name_H-M 'C m c 21'
_symmetry_Int_Tables_number 36
loop_
_symmetry_equiv_pos_as_xyz
'x,y,z'
'-x,-y,z+1/2'
'-x,y,z'
'x,-y,z+1/2'
'x+1/2,y+1/2,z'
'-x+1/2,-y+1/2,z+1/2'
'-x+1/2,y+1/2,z'
'x+1/2,-y+1/2,z+1/2'
loop_
_atom_site_label
_atom_site_type_symbol
_atom_site_fract_x
_atom_site_fract_y
_atom_site_fract_z
La1 La 0.000 0.000 0.000
La2 La 0.000 0.194 0.251
Pm1 Pm 0.000 0.399 0.250
Sn1 Sn 0.000 0.187 0.751
Sn2 Sn 0.000 0.424 0.750

Record 3
# BeFeSi2 (PBE, relaxed)
# Energy relative to the elements, uncorrected ... 15 meV per atom
# D(E_F) ... 5.153 states/eV per cell
# Total magnetization ... 0.0 μB/f.u.
data_BeFeSi2
_cell_length_a 4.793
_cell_length_b 6.717
_cell_length_c 2.680
_cell_angle_alpha 90.00
_cell_angle_beta 90.21
_cell_angle_gamma 90.00
_symmetry_space_group_name_H-M 'C 1 2/m 1'
_symmetry_Int_Tables_number 12
loop_
_symmetry_equiv_pos_as_xyz
'x,y,z'
'-x,-y,-z'
'-x,y,-z'
'x,-y,z'
'x+1/2,y+1/2,z'
'-x+1/2,-y+1/2,-z'
'-x+1/2,y+1/2,-z'
'x+1/2,-y+1/2,z'
loop_
_atom_site_label
_atom_site_type_symbol
_atom_site_fract_x
_atom_site_fract_y
_atom_site_fract_z
Be1 Be 0.000 0.000 0.000
Fe1 Fe 0.000 0.500 0.000
Si1 Si 0.250 0.250 0.500

Record 4
# CsTl6Cl8 (PBE, relaxed)
# Energy relative to the elements, uncorrected ... -1037 meV per atom
# D(E_F) ... 38.784 states/eV per cell
# Total magnetization ... 0.0 μB/f.u.
data_CsTl6Cl8
_cell_length_a 13.0598
_cell_length_b 13.0598
_cell_length_c 11.1580
_cell_angle_alpha 90.00
_cell_angle_beta 90.00
_cell_angle_gamma 120.00
_symmetry_space_group_name_H-M 'R -3'
_symmetry_Int_Tables_number 148
_symmetry_space_group_name_Hall '-R 3'
loop_
_atom_site_label
_atom_site_type_symbol
_atom_site_fract_x
_atom_site_fract_y
_atom_site_fract_z
Cs1 Cs 0.0000 0.0000 0.0000
Tl1 Tl 0.0196 0.7820 0.6785
Cl1 Cl 0.0000 0.0000 0.3282
Cl2 Cl 0.0473 0.5799 0.8098

Record 5
# TeAs3S3 (PBE, relaxed)
# Energy relative to the elements, uncorrected ... 49 meV per atom
# D(E_F) ... 21.464 states/eV per cell
# Total magnetization ... 0.0 μB/f.u.
data_TeAs3S3
_cell_length_a 8.7793
_cell_length_b 8.7793
_cell_length_c 19.2890
_cell_angle_alpha 90.00
_cell_angle_beta 90.00
_cell_angle_gamma 120.00
_symmetry_space_group_name_H-M 'R -3'
_symmetry_Int_Tables_number 148
_symmetry_space_group_name_Hall '-R 3'
loop_
_atom_site_label
_atom_site_type_symbol
_atom_site_fract_x
_atom_site_fract_y
_atom_site_fract_z
Te1 Te 0.0000 0.0000 0.1280
As1 As 0.0044 0.2332 0.2281
S1 S 0.0122 0.2456 0.7183

Record 6
# SrBeHg2 (PBE, relaxed)
# D(E_F) ... 2.176 states/eV per cell
# Total magnetization ... 0.0 μB/f.u.
# E_form ... 91 meV/atom
data_SrBeHg2
_cell_length_a 3.642
_cell_length_b 3.642
_cell_length_c 7.385
_cell_angle_alpha 90.00
_cell_angle_beta 90.00
_cell_angle_gamma 90.00
_symmetry_space_group_name_H-M 'P 4 m m'
_symmetry_Int_Tables_number 99
loop_
_symmetry_equiv_pos_as_xyz
'x,y,z'
'-y,x,z'
'-x,-y,z'
'y,-x,z'
'-x,y,z'
'y,x,z'
'x,-y,z'
'-y,-x,z'
loop_
_atom_site_label
_atom_site_type_symbol
_atom_site_fract_x
_atom_site_fract_y
_atom_site_fract_z
Sr1 Sr 0.000 0.000 0.000
Be1 Be 0.500 0.500 0.341
Hg1 Hg 0.000 0.000 0.423
Hg2 Hg 0.500 0.500 0.703

Record 7
# TiW3Cl (PBE, relaxed)
# Energy relative to the elements, uncorrected ... 2364 meV per atom
# D(E_F) ... 5.276 states/eV per cell
# Total magnetization ... 0.0 μB/f.u.
data_TiW3Cl
_cell_length_a 4.687
_cell_length_b 4.687
_cell_length_c 4.687
_cell_angle_alpha 90.00
_cell_angle_beta 90.00
_cell_angle_gamma 90.00
_symmetry_space_group_name_H-M 'P m -3 m'
_symmetry_Int_Tables_number 221
_symmetry_space_group_name_Hall '-P 4 2 3'
loop_
_atom_site_label
_atom_site_type_symbol
_atom_site_fract_x
_atom_site_fract_y
_atom_site_fract_z
Ti1 Ti 0.000 0.000 0.000
W1 W 0.000 0.000 0.500
Cl1 Cl 0.500 0.500 0.500

Record 8
# Ac8Ir3RuBr4 (PBE, relaxed)
# Energy relative to the elements, uncorrected ... -1109 meV per atom
# D(E_F) ... 15.493 states/eV per cell
# Total magnetization ... 0.0 μB/f.u.
data_Ac8Ir3RuBr4
_cell_length_a 8.6843
_cell_length_b 8.6843
_cell_length_c 24.7963
_cell_angle_alpha 90.00
_cell_angle_beta 90.00
_cell_angle_gamma 120.00
_symmetry_space_group_name_H-M 'R -3 m'
_symmetry_Int_Tables_number 166
_symmetry_space_group_name_Hall '-R 3 2"'
loop_
_atom_site_label
_atom_site_type_symbol
_atom_site_fract_x
_atom_site_fract_y
_atom_site_fract_z
Ac1 Ac 0.0000 0.0000 0.2308
Ac2 Ac 0.0034 0.5017 0.2314
Ir1 Ir 0.0000 0.5000 0.5000
Ru1 Ru 0.0000 0.0000 0.5000
Br1 Br 0.0000 0.0000 0.0000
Br2 Br 0.0000 0.5000 0.0000

Record 9
# BaSi2Br (PBE, relaxed)
# Energy relative to the elements, uncorrected ... -357 meV per atom
# D(E_F) ... 4.272 states/eV per cell
# Total magnetization ... 0.0 μB/f.u.
data_BaSi2Br
_cell_length_a 3.950
_cell_length_b 6.312
_cell_length_c 9.429
_cell_angle_alpha 90.00
_cell_angle_beta 90.00
_cell_angle_gamma 90.00
_symmetry_space_group_name_H-M 'I m m 2'
_symmetry_Int_Tables_number 44
loop_
_symmetry_equiv_pos_as_xyz
'x,y,z'
'-x,-y,z'
'-x,y,z'
'x,-y,z'
'x+1/2,y+1/2,z+1/2'
'-x+1/2,-y+1/2,z+1/2'
'-x+1/2,y+1/2,z+1/2'
'x+1/2,-y+1/2,z+1/2'
loop_
_atom_site_label
_atom_site_type_symbol
_atom_site_fract_x
_atom_site_fract_y
_atom_site_fract_z
Ba1 Ba 0.000 0.000 0.000
Si1 Si 0.000 0.000 0.572
Si2 Si 0.000 0.500 0.197
Br1 Br 0.000 0.500 0.784

Record 10
# YErC (PBE, relaxed)
# D(E_F) ... 2.265 states/eV per cell
# Total magnetization ... 0.2 μB/f.u.
# E_form ... -282 meV/atom
data_YErC
_cell_length_a 3.5693
_cell_length_b 3.5693
_cell_length_c 6.1986
_cell_angle_alpha 90.00
_cell_angle_beta 90.00
_cell_angle_gamma 120.00
_symmetry_space_group_name_H-M 'P 3 m 1'
_symmetry_Int_Tables_number 156
loop_
_symmetry_equiv_pos_as_xyz
'x,y,z'
'-y,x-y,z'
'-x+y,-x,z'
'-y,-x,z'
'-x+y,y,z'
'x,x-y,z'
loop_
_atom_site_label
_atom_site_type_symbol
_atom_site_fract_x
_atom_site_fract_y
_atom_site_fract_z
Y1 Y 0.0000 0.0000 0.0000
Er1 Er 0.3333 0.6667 0.5663
C1 C 0.6667 0.3333 0.7771

Record 11
# Sc6SnPd12 (PBE, relaxed)
# D(E_F) ... 26.333 states/eV per cell
# Total magnetization ... 0.0 μB/f.u.
# E_form ... -765 meV/atom
data_Sc6SnPd12
_cell_length_a 12.5749
_cell_length_b 12.5749
_cell_length_c 7.1158
_cell_angle_alpha 90.00
_cell_angle_beta 90.00
_cell_angle_gamma 120.00
_symmetry_space_group_name_H-M 'R -3'
_symmetry_Int_Tables_number 148
_symmetry_space_group_name_Hall '-R 3'
loop_
_atom_site_label
_atom_site_type_symbol
_atom_site_fract_x
_atom_site_fract_y
_atom_site_fract_z
Sc1 Sc 0.0211 0.7630 0.3389
Sn1 Sn 0.0000 0.0000 0.0000
Pd1 Pd 0.0099 0.8701 0.6639
Pd2 Pd 0.0662 0.5036 0.6743

Record 12
# Sm2Ga3Cu4Hg (PBE, relaxed)
# D(E_F) ... 6.381 states/eV per cell
# Total magnetization ... 0.0 μB/f.u.
# E_form ... -351 meV/atom
data_Sm2Ga3Cu4Hg
_cell_length_a 4.232
_cell_length_b 4.232
_cell_length_c 10.355
_cell_angle_alpha 90.00
_cell_angle_beta 90.00
_cell_angle_gamma 90.00
_symmetry_space_group_name_H-M 'P -4 m 2'
_symmetry_Int_Tables_number 115
loop_
_symmetry_equiv_pos_as_xyz
'x,y,z'
'y,-x,-z'
'-x,-y,z'
'-y,x,-z'
'-x,y,z'
'-y,-x,-z'
'x,-y,z'
'y,x,-z'
loop_
_atom_site_label
_atom_site_type_symbol
_atom_site_fract_x
_atom_site_fract_y
_atom_site_fract_z
Sm1 Sm 0.000 0.500 0.236
Ga1 Ga 0.000 0.500 0.878
Ga2 Ga 0.500 0.500 0.500
Cu1 Cu 0.000 0.000 0.000
Cu2 Cu 0.000 0.500 0.648
Cu3 Cu 0.500 0.500 0.000
Hg1 Hg 0.000 0.000 0.500

Record 13
# K5Al (PBE, relaxed)
# D(E_F) ... 8.827 states/eV per cell
# Total magnetization ... 0.0 μB/f.u.
# E_form ... 206 meV/atom
data_K5Al
_cell_length_a 6.106
_cell_length_b 17.414
_cell_length_c 6.149
_cell_angle_alpha 90.00
_cell_angle_beta 90.00
_cell_angle_gamma 90.00
_symmetry_space_group_name_H-M 'C m m m'
_symmetry_Int_Tables_number 65
_symmetry_space_group_name_Hall '-C 2 2'
loop_
_atom_site_label
_atom_site_type_symbol
_atom_site_fract_x
_atom_site_fract_y
_atom_site_fract_z
K1 K 0.000 0.000 0.000
K2 K 0.000 0.145 0.500
K3 K 0.000 0.354 0.000
Al1 Al 0.000 0.500 0.500

Record 14
# Pr4PdRh3 (PBE, relaxed)
# D(E_F) ... 4.164 states/eV per cell
# Total magnetization ... 0.0 μB/f.u.
# E_form ... -694 meV/atom
data_Pr4PdRh3
_cell_length_a 3.988
_cell_length_b 4.337
_cell_length_c 11.073
_cell_angle_alpha 90.00
_cell_angle_beta 90.00
_cell_angle_gamma 90.00
_symmetry_space_group_name_H-M 'P m m 2'
_symmetry_Int_Tables_number 25
loop_
_symmetry_equiv_pos_as_xyz
'x,y,z'
'-x,-y,z'
'-x,y,z'
'x,-y,z'
loop_
_atom_site_label
_atom_site_type_symbol
_atom_site_fract_x
_atom_site_fract_y
_atom_site_fract_z
Pr1 Pr 0.000 0.000 0.000
Pr2 Pr 0.000 0.500 0.273
Pr3 Pr 0.500 0.000 0.490
Pr4 Pr 0.500 0.500 0.775
Pd1 Pd 0.000 0.000 0.716
Rh1 Rh 0.000 0.500 0.548
Rh2 Rh 0.500 0.000 0.219
Rh3 Rh 0.500 0.500 0.043

Record 15
# AsRh2S (PBE, relaxed)
# Energy relative to the elements, uncorrected ... -231 meV per atom
# D(E_F) ... 8.924 states/eV per cell
# Total magnetization ... 0.0 μB/f.u.
data_AsRh2S
_cell_length_a 4.898
_cell_length_b 4.898
_cell_length_c 12.588
_cell_angle_alpha 90.00
_cell_angle_beta 90.00
_cell_angle_gamma 90.00
_symmetry_space_group_name_H-M 'I -4 2 d'
_symmetry_Int_Tables_number 122
_symmetry_space_group_name_Hall 'I -4 2bw'
loop_
_atom_site_label
_atom_site_type_symbol
_atom_site_fract_x
_atom_site_fract_y
_atom_site_fract_z
As1 As 0.000 0.000 0.000
Rh1 Rh 0.216 0.250 0.625
S1 S 0.000 0.000 0.500

Record 16
# SbTeAs2 (PBE, relaxed)
# Energy relative to the elements, uncorrected ... 398 meV per atom
# D(E_F) ... 2.064 states/eV per cell
# Total magnetization ... 0.0 μB/f.u.
data_SbTeAs2
_cell_length_a 3.583
_cell_length_b 4.851
_cell_length_c 5.453
_cell_angle_alpha 90.00
_cell_angle_beta 90.00
_cell_angle_gamma 90.00
_symmetry_space_group_name_H-M 'P m m m'
_symmetry_Int_Tables_number 47
loop_
_symmetry_equiv_pos_as_xyz
'x,y,z'
'-x,-y,-z'
'-x,-y,z'
'x,y,-z'
'x,-y,-z'
'-x,y,z'
'-x,y,-z'
'x,-y,z'
loop_
_atom_site_label
_atom_site_type_symbol
_atom_site_fract_x
_atom_site_fract_y
_atom_site_fract_z
Sb1 Sb 0.000 0.000 0.000
Te1 Te 0.500 0.000 0.500
As1 As 0.000 0.500 0.500
As2 As 0.500 0.500 0.000

Record 17
# Ce8In2Ir (PBE, relaxed)
# D(E_F) ... 61.631 states/eV per cell
# Total magnetization ... 4.1 μB/f.u.
# E_form ... -260 meV/atom
data_Ce8In2Ir
_cell_length_a 16.924
_cell_length_b 5.235
_cell_length_c 6.812
_cell_angle_alpha 90.00
_cell_angle_beta 108.78
_cell_angle_gamma 90.00
_symmetry_space_group_name_H-M 'C 1 2/m 1'
_symmetry_Int_Tables_number 12
loop_
_symmetry_equiv_pos_as_xyz
'x,y,z'
'-x,-y,-z'
'-x,y,-z'
'x,-y,z'
'x+1/2,y+1/2,z'
'-x+1/2,-y+1/2,-z'
'-x+1/2,y+1/2,-z'
'x+1/2,-y+1/2,z'
loop_
_atom_site_label
_atom_site_type_symbol
_atom_site_fract_x
_atom_site_fract_y
_atom_site_fract_z
Ce1 Ce 0.003 0.000 0.303
Ce2 Ce 0.101 0.500 0.403
Ce3 Ce 0.149 0.500 0.896
Ce4 Ce 0.190 0.000 0.148
In1 In 0.196 0.000 0.655
Ir1 Ir 0.000 0.500 0.000

Record 18
# MnCoPt2 (PBE, relaxed)
# D(E_F) ... 21.674 states/eV per cell
# Total magnetization ... 6.2 μB/f.u.
# E_form ... -14 meV/atom
data_MnCoPt2
_cell_length_a 6.152
_cell_length_b 6.152
_cell_length_c 6.152
_cell_angle_alpha 90.00
_cell_angle_beta 90.00
_cell_angle_gamma 90.00
_symmetry_space_group_name_H-M 'F -4 3 m'
_symmetry_Int_Tables_number 216
_symmetry_space_group_name_Hall 'F -4 2 3'
loop_
_atom_site_label
_atom_site_type_symbol
_atom_site_fract_x
_atom_site_fract_y
_atom_site_fract_z
Mn1 Mn 0.000 0.000 0.000
Co1 Co 0.250 0.250 0.750
Pt1 Pt 0.000 0.000 0.500
Pt2 Pt 0.250 0.250 0.250

Record 19
# KY2Cl (PBE, relaxed)
# Energy relative to the elements, uncorrected ... -145 meV per atom
# D(E_F) ... 4.716 states/eV per cell
# Total magnetization ... 0.0 μB/f.u.
data_KY2Cl
_cell_length_a 3.421
_cell_length_b 3.421
_cell_length_c 10.863
_cell_angle_alpha 90.00
_cell_angle_beta 90.00
_cell_angle_gamma 90.00
_symmetry_space_group_name_H-M 'P 4/m m m'
_symmetry_Int_Tables_number 123
_symmetry_space_group_name_Hall '-P 4 2'
loop_
_atom_site_label
_atom_site_type_symbol
_atom_site_fract_x
_atom_site_fract_y
_atom_site_fract_z
K1 K 0.000 0.000 0.000
Y1 Y 0.500 0.500 0.319
Cl1 Cl 0.000 0.000 0.500

Record 20
# AgB2Rh (PBE, relaxed)
# D(E_F) ... 6.438 states/eV per cell
# Total magnetization ... 0.0 μB/f.u.
# E_form ... 650 meV/atom
data_AgB2Rh
_cell_length_a 4.870
_cell_length_b 4.870
_cell_length_c 9.830
_cell_angle_alpha 90.00
_cell_angle_beta 90.00
_cell_angle_gamma 90.00
_symmetry_space_group_name_H-M 'I -4 2 d'
_symmetry_Int_Tables_number 122
_symmetry_space_group_name_Hall 'I -4 2bw'
loop_
_atom_site_label
_atom_site_type_symbol
_atom_site_fract_x
_atom_site_fract_y
_atom_site_fract_z
Ag1 Ag 0.000 0.000 0.000
B1 B 0.204 0.250 0.625
Rh1 Rh 0.000 0.000 0.500